Th3Si2Tc | Alexandria | GGA-PBE | relaxed; total energy = -7.6502 eV/atom; ΔE to the lowest computed polymorph = 162.0 meV/atom; formation energy without anion corrections = -0.405 eV per atom
1.0
3.9748 2.2948 5.6613
-3.9748 2.2948 5.6613
0.0000 -4.5896 5.6613
Th Si Tc
6 4 2
direct
0.0933 0.7500 0.4067 Th
0.2500 0.5933 0.9067 Th
0.4067 0.0933 0.7500 Th
0.5933 0.9067 0.2500 Th
0.7500 0.4067 0.0933 Th
0.9067 0.2500 0.5933 Th
0.1647 0.1647 0.1647 Si
0.3353 0.3353 0.3353 Si
0.6647 0.6647 0.6647 Si
0.8353 0.8353 0.8353 Si
0.0000 0.0000 0.0000 Tc
0.5000 0.5000 0.5000 Tc

***

Th3Si3Tc2 | Alexandria | GGA-PBE | relaxed; total energy = -8.0490 eV/atom; formation energy without anion corrections = -0.641 eV per atom
1.0
2.1564 -5.4220 0.0000
2.1564 5.4220 0.0000
0.0000 0.0000 14.2529
Th Si Tc
6 6 4
direct
0.0875 0.9125 0.6199 Th
0.0875 0.9125 0.8801 Th
0.3863 0.6137 0.7500 Th
0.6137 0.3863 0.2500 Th
0.9125 0.0875 0.1199 Th
0.9125 0.0875 0.3801 Th
0.3068 0.6932 0.2500 Si
0.3859 0.6141 0.5383 Si
0.3859 0.6141 0.9617 Si
0.6141 0.3859 0.0383 Si
0.6141 0.3859 0.4617 Si
0.6932 0.3068 0.7500 Si
0.2131 0.7869 0.0765 Tc
0.2131 0.7869 0.4235 Tc
0.7869 0.2131 0.5765 Tc
0.7869 0.2131 0.9235 Tc

***

ThSiTc2 | Alexandria | GGA-PBE | relaxed; total energy = -8.5013 eV/atom; formation energy without anion corrections = -0.108 eV per atom
1.0
0.0000 3.2718 3.2718
3.2718 0.0000 3.2718
3.2718 3.2718 0.0000
Th Si Tc
1 1 2
direct
0.0000 0.0000 0.0000 Th
0.5000 0.5000 0.5000 Si
0.2500 0.2500 0.2500 Tc
0.7500 0.7500 0.7500 Tc

***

ThSi3Tc4 | Alexandria | GGA-PBE | relaxed; total energy = -8.5096 eV/atom; formation energy without anion corrections = -0.365 eV per atom
1.0
4.1540 0.0000 0.0000
0.0000 4.1540 0.0000
0.0000 0.0000 7.8558
Th Si Tc
1 3 4
direct
0.0000 0.0000 0.0000 Th
0.0000 0.0000 0.5000 Si
0.5000 0.5000 0.1612 Si
0.5000 0.5000 0.8388 Si
0.0000 0.5000 0.3277 Tc
0.0000 0.5000 0.6723 Tc
0.5000 0.0000 0.3277 Tc
0.5000 0.0000 0.6723 Tc

***

ThSiTc3 | Alexandria | GGA-PBE | relaxed; total energy = -8.4929 eV/atom; formation energy without anion corrections = 0.295 eV per atom
1.0
-2.5178 2.5178 8.2965
2.5178 -2.5178 8.2965
2.5178 2.5178 -8.2965
Th Si Tc
2 2 6
direct
0.1375 0.1375 0.0000 Th
0.8625 0.8625 0.0000 Th
0.2500 0.7500 0.5000 Si
0.5000 0.5000 0.0000 Si
0.3736 0.1367 0.7630 Tc
0.3736 0.6106 0.2370 Tc
0.3894 0.6264 0.7630 Tc
0.5212 0.0212 0.5000 Tc
0.8633 0.6264 0.2370 Tc
0.9788 0.4788 0.5000 Tc

***

Th2SiTc | Alexandria | GGA-PBE | relaxed; total energy = -8.1018 eV/atom; ΔE to the lowest computed polymorph = 32.6 meV/atom; formation energy without anion corrections = -0.445 eV per atom
1.0
5.9193 0.0000 0.0000
0.0000 4.0343 0.0000
-2.8567 0.0000 7.9878
Th Si Tc
4 2 2
direct
0.2036 0.2500 0.4142 Th
0.2817 0.7500 0.0601 Th
0.7183 0.2500 0.9399 Th
0.7964 0.7500 0.5858 Th
0.3494 0.7500 0.7103 Si
0.6506 0.2500 0.2897 Si
0.1320 0.2500 0.7860 Tc
0.8680 0.7500 0.2140 Tc